Material: Li4MgBi5
Method: DFT, GGA-PBE
State: optimized geometry

Summary:
Its formation energy is -0.296 eV/atom. Its crystal system is tetragonal. For the theoretical density, the calculation gives 7438 kg/m³. The density of states at the Fermi level comes out at 4.08 states/eV per cell. The calculation puts the uncorrected energy at -0.1162 hartree per atom. The volume is 244.89 Å³/f.u. The space group is No. 123. For the total magnetization, the calculation gives 0.00 μB/cell.

Cell and atoms, written as POSCAR:
```
Li4MgBi5
1.0
3.744 0.000 0.000
0.000 3.744 0.000
0.000 0.000 17.466
Li Mg Bi
4 1 5
direct
0.000 0.000 0.206
0.000 0.000 0.402
0.000 0.000 0.598
0.000 0.000 0.794
0.000 0.000 0.000
0.500 0.500 0.104
0.500 0.500 0.302
0.500 0.500 0.500
0.500 0.500 0.698
0.500 0.500 0.896
```


Material: LiMg5Bi6
Method: DFT, GGA-PBE
State: optimized geometry

Summary:
Its formation energy is -0.054 eV/atom. Its crystal system is monoclinic. For the theoretical density, the calculation gives 5981 kg/m³. The density of states at the Fermi level comes out at 3.69 states/eV per cell. The calculation puts the uncorrected energy at -0.1036 hartree per atom. The volume is 383.80 Å³/f.u. The space group is No. 12. For the total magnetization, the calculation gives 0.00 μB/cell.

Cell and atoms, written as POSCAR:
```
LiMg5Bi6
1.0
-6.133 -6.944 -2.249
6.521 -2.511 1.453
-1.718 4.170 6.274
Mg Bi Li
5 6 1
direct
0.366 0.866 0.731
0.695 0.695 0.391
0.000 0.500 0.000
0.305 0.305 0.609
0.634 0.134 0.269
0.006 0.349 0.324
0.318 0.975 0.324
0.352 0.245 0.000
0.648 0.755 0.000
0.682 0.025 0.676
0.994 0.651 0.676
0.000 0.000 0.000
```


Material: Li3MgBi
Method: DFT, GGA-PBE
State: optimized geometry

Summary:
Its formation energy is -0.039 eV/atom. Its crystal system is cubic. For the theoretical density, the calculation gives 2782 kg/m³. The density of states at the Fermi level comes out at 0.10 states/eV per cell. The calculation puts the uncorrected energy at -0.0839 hartree per atom. The volume is 151.67 Å³/f.u. The space group is No. 221. For the total magnetization, the calculation gives 0.00 μB/cell.

Cell and atoms, written as POSCAR:
```
Li3MgBi
1.0
-3.175 1.960 3.811
-2.996 -4.406 -0.230
3.064 -2.277 3.724
Mg Bi Li
1 1 3
direct
0.500 0.500 0.500
0.000 0.000 0.000
0.000 0.500 0.000
0.000 0.000 0.500
0.500 0.000 0.000
```


Material: LiMg6Bi
Method: DFT, GGA-PBE
State: optimized geometry

Summary:
Its formation energy is -0.077 eV/atom. Its crystal system is orthorhombic. For the theoretical density, the calculation gives 3224 kg/m³. The density of states at the Fermi level comes out at 2.89 states/eV per cell. The calculation puts the uncorrected energy at -0.0734 hartree per atom. The volume is 186.31 Å³/f.u. The space group is No. 38. For the total magnetization, the calculation gives 0.00 μB/cell.

Cell and atoms, written as POSCAR:
```
LiMg6Bi
1.0
3.283 -5.597 0.000
3.283 5.597 0.000
0.000 0.000 5.070
Li Mg Bi
1 6 1
direct
0.165 0.835 0.000
0.159 0.316 0.000
0.684 0.841 0.000
0.663 0.337 0.000
0.330 0.162 0.500
0.838 0.670 0.500
0.831 0.169 0.500
0.329 0.671 0.500
```


Material: Li2Mg2Bi
Method: DFT, GGA-PBE
State: optimized geometry

Summary:
Its formation energy is 0.007 eV/atom. Its crystal system is tetragonal. For the theoretical density, the calculation gives 3684 kg/m³. The density of states at the Fermi level comes out at 1.98 states/eV per cell. The calculation puts the uncorrected energy at -0.0798 hartree per atom. The volume is 122.38 Å³/f.u. The space group is No. 139. For the total magnetization, the calculation gives 0.00 μB/cell.

Cell and atoms, written as POSCAR:
```
Li2Mg2Bi
1.0
3.933 0.000 0.000
0.000 3.933 0.000
1.967 1.967 7.910
Mg Bi Li
2 1 2
direct
0.397 0.397 0.206
0.603 0.603 0.794
0.000 0.000 0.000
0.750 0.250 0.500
0.250 0.750 0.500
```


Material: Li6MgBi
Method: DFT, GGA-PBE
State: optimized geometry

Summary:
Its formation energy is -0.199 eV/atom. Its crystal system is triclinic. For the theoretical density, the calculation gives 2829 kg/m³. The density of states at the Fermi level comes out at 3.54 states/eV per cell. The calculation puts the uncorrected energy at -0.0852 hartree per atom. The volume is 161.38 Å³/f.u. The space group is No. 2. For the total magnetization, the calculation gives 0.00 μB/cell.

Cell and atoms, written as POSCAR:
```
Li6MgBi
1.0
7.761 0.023 0.082
3.886 6.758 0.017
3.831 2.277 3.115
Li Mg Bi
6 1 1
direct
0.003 0.494 0.762
0.741 0.002 0.760
0.504 0.259 0.241
0.259 0.998 0.240
0.997 0.506 0.238
0.496 0.741 0.759
0.000 0.000 0.000
0.500 0.500 0.500
```


Material: Li5MgBi4
Method: DFT, GGA-PBE
State: optimized geometry

Summary:
Its formation energy is -0.328 eV/atom. Its crystal system is tetragonal. For the theoretical density, the calculation gives 6429 kg/m³. The density of states at the Fermi level comes out at 2.33 states/eV per cell. The calculation puts the uncorrected energy at -0.1101 hartree per atom. The volume is 231.15 Å³/f.u. The space group is No. 123. For the total magnetization, the calculation gives 0.00 μB/cell.

Cell and atoms, written as POSCAR:
```
Li5MgBi4
1.0
3.432 0.000 0.000
0.000 3.432 0.000
0.000 0.000 19.627
Li Mg Bi
5 1 4
direct
0.500 0.500 0.089
0.500 0.500 0.290
0.500 0.500 0.500
0.500 0.500 0.710
0.500 0.500 0.911
0.000 0.000 0.000
0.000 0.000 0.178
0.000 0.000 0.393
0.000 0.000 0.607
0.000 0.000 0.822
```


Material: Li2Mg3Bi4
Method: DFT, GGA-PBE
State: optimized geometry

Summary:
Its formation energy is -0.232 eV/atom. Its crystal system is triclinic. For the theoretical density, the calculation gives 6470 kg/m³. The density of states at the Fermi level comes out at 2.11 states/eV per cell. The calculation puts the uncorrected energy at -0.1071 hartree per atom. The volume is 236.81 Å³/f.u. The space group is No. 2. For the total magnetization, the calculation gives 0.00 μB/cell.

Cell and atoms, written as POSCAR:
```
Li2Mg3Bi4
1.0
4.809 -0.667 -0.869
-1.621 6.149 -1.340
0.543 0.526 8.047
Li Mg Bi
2 3 4
direct
0.635 0.056 0.301
0.365 0.944 0.699
0.105 0.600 0.309
0.895 0.400 0.691
0.000 0.000 0.000
0.387 0.704 0.994
0.251 0.233 0.460
0.613 0.296 0.006
0.749 0.767 0.540
```


Material: LiMg14Bi
Method: DFT, GGA-PBE
State: optimized geometry

Summary:
Its formation energy is -0.025 eV/atom. Its crystal system is hexagonal. For the theoretical density, the calculation gives 2488 kg/m³. The density of states at the Fermi level comes out at 8.22 states/eV per cell. The calculation puts the uncorrected energy at -0.0655 hartree per atom. The volume is 371.27 Å³/f.u. The space group is No. 187. For the total magnetization, the calculation gives 0.00 μB/cell.

Cell and atoms, written as POSCAR:
```
LiMg14Bi
1.0
3.215 -5.569 0.000
3.215 5.569 0.000
0.000 0.000 10.366
Li Mg Bi
1 14 1
direct
0.000 0.000 0.000
0.998 0.499 0.000
0.999 0.500 0.500
0.501 0.002 0.000
0.500 0.001 0.500
0.501 0.499 0.000
0.500 0.500 0.500
0.169 0.831 0.245
0.169 0.831 0.755
0.169 0.337 0.245
0.169 0.337 0.755
0.663 0.831 0.245
0.663 0.831 0.755
0.667 0.333 0.252
0.667 0.333 0.748
0.000 0.000 0.500
```


Material: LiMg2Bi2
Method: DFT, GGA-PBE
State: optimized geometry

Summary:
Its formation energy is -0.166 eV/atom. Its crystal system is tetragonal. For the theoretical density, the calculation gives 5790 kg/m³. The density of states at the Fermi level comes out at 4.01 states/eV per cell. The calculation puts the uncorrected energy at -0.1006 hartree per atom. The volume is 135.80 Å³/f.u. The space group is No. 127. For the total magnetization, the calculation gives 0.00 μB/cell.

Cell and atoms, written as POSCAR:
```
LiMg2Bi2
1.0
8.603 0.000 0.000
0.000 8.603 0.000
0.000 0.000 3.670
Mg Bi Li
4 4 2
direct
0.130 0.630 0.500
0.630 0.870 0.500
0.870 0.370 0.500
0.370 0.130 0.500
0.330 0.830 0.000
0.830 0.670 0.000
0.670 0.170 0.000
0.170 0.330 0.000
0.000 0.000 0.000
0.500 0.500 0.000
```


What is the formula in the second record? LiMg5Bi6